No. 1
Here is a relaxed Ho2ErHf crystal from Alexandria via LeMat-Bulk. Energies are from PBE-GGA.

Output
The total magnetic moment is 0.00 μB per atom. As for the density of states at the Fermi level: 7.1 states/eV/cell. As for the symmetry: P4/mmm, No. 123. The value obtained for the density is 9.9 g/cm3. The energy comes out at -5.701 eV per atom. As for the formation energy: 0.217 eV/atom.

Unit cell a=3.970 b=3.970 c=7.188 alpha=90.00 beta=90.00 gamma=90.00
Fractional coordinates of all 4 atoms:
Er 0.500 0.500 0.500
Ho 0.000 0.000 0.225
Ho 0.000 0.000 0.775
Hf 0.500 0.500 0.000

---

No. 2
Here is a relaxed HoEr2Hf crystal from Alexandria via LeMat-Bulk. Energies are from PBE-GGA.

Output
The total magnetic moment is 0.00 μB per atom. As for the density of states at the Fermi level: 7.7 states/eV/cell. As for the symmetry: P4/mmm, No. 123. The value obtained for the density is 9.9 g/cm3. The energy comes out at -5.697 eV per atom. As for the formation energy: 0.217 eV/atom.

Unit cell a=3.957 b=3.957 c=7.228 alpha=90.00 beta=90.00 gamma=90.00
Fractional coordinates of all 4 atoms:
Er 0.000 0.000 0.777
Er 0.000 0.000 0.223
Hf 0.500 0.500 0.000
Ho 0.500 0.500 0.500

---

No. 3
Here is a relaxed Ho12Er7Hf crystal from Alexandria via LeMat-Bulk. Energies are from PBE-GGA.

Output
The total magnetic moment is 0.00 μB per atom. As for the density of states at the Fermi level: 19.5 states/eV/cell. As for the symmetry: R-3, No. 148. The value obtained for the density is 8.9 g/cm3. The energy comes out at -4.534 eV per atom. As for the formation energy: 0.308 eV/atom.

Unit cell a=8.567 b=8.567 c=8.567 alpha=94.55 beta=94.55 gamma=94.55
Fractional coordinates of all 20 atoms:
Er 0.344 0.017 0.080
Er 0.500 0.500 0.500
Er 0.656 0.983 0.920
Er 0.017 0.080 0.344
Er 0.983 0.920 0.656
Er 0.080 0.344 0.017
Er 0.920 0.656 0.983
Ho 0.684 0.813 0.249
Ho 0.478 0.147 0.413
Ho 0.316 0.187 0.751
Ho 0.853 0.587 0.522
Ho 0.522 0.853 0.587
Ho 0.187 0.751 0.316
Ho 0.587 0.522 0.853
Ho 0.751 0.316 0.187
Ho 0.813 0.249 0.684
Ho 0.249 0.684 0.813
Ho 0.413 0.478 0.147
Ho 0.147 0.413 0.478
Hf 0.000 0.000 0.000